! KIn6Ag6 PBE relaxed; values from VASP
&SYSTEM
  ibrav = 0, nat = 13, ntyp = 3
/
ATOMIC_SPECIES
Ag 107.87 Ag.upf
In 114.82 In.upf
K 39.10 K.upf
ATOMIC_POSITIONS crystal
Ag 0.5000 0.0000 0.0000
Ag 0.0000 0.5000 0.0000
Ag 0.7683 0.5000 0.2683
Ag 0.0000 0.0000 0.5000
Ag 0.5000 0.5000 0.5000
Ag 0.2317 0.5000 0.7317
In 0.3483 0.3483 0.0000
In 0.6517 0.6517 0.0000
In 0.3497 0.0000 0.3497
In 0.8068 0.3068 0.5000
In 0.1932 0.6932 0.5000
In 0.6503 0.0000 0.6503
K 0.0000 0.0000 0.0000
CELL_PARAMETERS angstrom
5.4362 -5.3163 -0.8710
-3.0232 -2.6680 6.5051
-2.3539 0.5069 -7.2647
! * mass density: 7.81 g cm⁻³
! * E: -2.736 eV per atom
! * space group: Immm (71)